# Tm2PuMnO8

Tm2PuMnO8 after structural relaxation (PBE with a Hubbard U, Alexandria via LeMat-Bulk).

Space group: P-1 (2)
Magnetization, μB/atom: 0.253
Calculated total energy, eV per atom: -8.55

The structure in POSCAR format:
```
Tm2PuMnO8
1.0
4.931 0.000 0.000
0.344 4.919 0.000
0.415 0.391 6.808
Tm Pu Mn O
2 1 1 8
direct
0.030 0.029 0.234
0.970 0.971 0.766
0.500 0.500 0.500
0.500 0.500 0.000
0.204 0.794 0.500
0.212 0.788 0.000
0.296 0.295 0.696
0.335 0.335 0.245
0.665 0.665 0.755
0.704 0.705 0.304
0.788 0.212 0.000
0.796 0.206 0.500
```